[1]
CuAg2As | PBEsol | optimized geometry

Cell: 5.4713 9.3209 2.8017 Å, 90.00 117.02 90.00°
Closest atoms and distances in Å follow each position.
Fractional coordinates of all 8 atoms:
Cu: 0.0000 0.0000 0.0000  4 As 2.74-2.89, 4 Ag 2.74, 2 Cu 2.80
Cu: 0.5000 0.5000 0.0000  4 As 2.74-2.89, 4 Ag 2.74, 2 Cu 2.80
Ag: 0.2500 0.2500 0.5000  6 Ag 2.74-2.89, 2 As 2.74, 2 Cu 2.74
Ag: 0.2500 0.7500 0.5000  6 Ag 2.74-2.89, 2 As 2.74, 2 Cu 2.74
Ag: 0.7500 0.2500 0.5000  6 Ag 2.74-2.89, 2 As 2.74, 2 Cu 2.74
Ag: 0.7500 0.7500 0.5000  6 Ag 2.74-2.89, 2 As 2.74, 2 Cu 2.74
As: 0.0000 0.5000 0.0000  4 Cu 2.74-2.89, 4 Ag 2.74, 2 As 2.80
As: 0.5000 0.0000 0.0000  4 Cu 2.74-2.89, 4 Ag 2.74, 2 As 2.80

Results
DFT formation energy ... 182 meV/atom
Magnetic moment ... 0.000 μB/cell

---

[2]
CuAg2As | PBEsol | optimized geometry

Cell: 6.3378 6.3378 6.3378 Å, 90.00 90.00 90.00°
Closest atoms and distances in Å follow each position.
Fractional coordinates of all 16 atoms:
Cu: 0.0000 0.0000 0.0000  4 As 2.74, 4 Ag 2.74
Cu: 0.0000 0.5000 0.5000  4 As 2.74, 4 Ag 2.74
Cu: 0.5000 0.0000 0.5000  4 As 2.74, 4 Ag 2.74
Cu: 0.5000 0.5000 0.0000  4 As 2.74, 4 Ag 2.74
Ag: 0.0000 0.0000 0.5000  4 Ag 2.74, 4 As 2.74
Ag: 0.0000 0.5000 0.0000  4 Ag 2.74, 4 As 2.74
Ag: 0.2500 0.2500 0.7500  4 Cu 2.74, 4 Ag 2.74
Ag: 0.2500 0.7500 0.2500  4 Cu 2.74, 4 Ag 2.74
Ag: 0.5000 0.0000 0.0000  4 Ag 2.74, 4 As 2.74
Ag: 0.5000 0.5000 0.5000  4 Ag 2.74, 4 As 2.74
Ag: 0.7500 0.2500 0.2500  4 Cu 2.74, 4 Ag 2.74
Ag: 0.7500 0.7500 0.7500  4 Cu 2.74, 4 Ag 2.74
As: 0.2500 0.2500 0.2500  4 Ag 2.74, 4 Cu 2.74
As: 0.2500 0.7500 0.7500  4 Cu 2.74, 4 Ag 2.74
As: 0.7500 0.2500 0.7500  4 Cu 2.74, 4 Ag 2.74
As: 0.7500 0.7500 0.2500  4 Cu 2.74, 4 Ag 2.74

Results
DFT formation energy ... 195 meV/atom
Magnetic moment ... 0.000 μB/cell

---

[3]
CuAg2As | PBEsol | optimized geometry

Cell: 3.3462 4.3962 8.6266 Å, 90.00 90.00 90.00°
Closest atoms and distances in Å follow each position.
Fractional coordinates of all 8 atoms:
Cu: 0.0000 0.0000 0.0000  2 As 2.47, 6 Ag 2.71-2.77
Cu: 0.5000 0.5000 0.5000  2 As 2.47, 6 Ag 2.71-2.77
Ag: 0.0000 0.0000 0.5221  4 Cu 2.77, 4 As 2.85-2.98, 4 Ag 2.90-2.93
Ag: 0.0000 0.5000 0.7473  2 Cu 2.71, 4 As 2.79, 4 Ag 2.90-2.93
Ag: 0.5000 0.0000 0.2473  2 Cu 2.71, 4 As 2.79, 4 Ag 2.90-2.93
Ag: 0.5000 0.5000 0.0221  4 Cu 2.77, 4 As 2.85-2.98, 4 Ag 2.90-2.93
As: 0.0000 0.5000 0.2889  2 Cu 2.47
As: 0.5000 0.0000 0.7889  2 Cu 2.47

Results
DFT formation energy ... 139 meV/atom
Magnetic moment ... 0.000 μB/cell

---

[4]
CuAg3As | PBEsol | optimized geometry

Cell: 4.7791 4.7791 4.7791 Å, 90.00 90.00 90.00°
Closest atoms and distances in Å follow each position.
Fractional coordinates of all 5 atoms:
Cu: 0.0000 0.0000 0.0000  12 Ag 3.38
Ag: 0.0000 0.5000 0.5000  2 As 2.39
Ag: 0.5000 0.0000 0.5000  2 As 2.39
Ag: 0.5000 0.5000 0.0000  2 As 2.39
As: 0.5000 0.5000 0.5000  6 Ag 2.39

Results
DFT formation energy ... 720 meV/atom
Magnetic moment ... 0.000 μB/cell

---

[5]
CuAgAs2H3O8 | PBEsol | optimized geometry

Cell: 9.1485 7.6930 9.6665 Å, 90.00 104.66 90.00°
Closest atoms and distances in Å follow each position.
Fractional coordinates of all 60 atoms:
Cu: 0.0959 0.1766 0.0114  4 O 1.90-2.03
Cu: 0.0959 0.3234 0.5114  4 O 1.90-2.03
Cu: 0.9041 0.6766 0.4886  4 O 1.90-2.03
Cu: 0.9041 0.8234 0.9886  4 O 1.90-2.03
Ag: 0.2689 0.7404 0.5167  6 O 2.38-2.62
Ag: 0.2689 0.7596 0.0167  6 O 2.38-2.62
Ag: 0.7311 0.2404 0.9833  6 O 2.38-2.62
Ag: 0.7311 0.2596 0.4833  6 O 2.38-2.62
As: 0.0303 0.5048 0.2044  4 O 1.69-1.77
As: 0.0303 0.9952 0.7044  4 O 1.69-1.77
As: 0.4334 0.1876 0.1832  4 O 1.70-1.74
As: 0.4334 0.3124 0.6832  4 O 1.70-1.74
As: 0.5666 0.6876 0.3168  4 O 1.70-1.74
As: 0.5666 0.8124 0.8168  4 O 1.70-1.74
As: 0.9697 0.0048 0.2956  4 O 1.69-1.77
As: 0.9697 0.4952 0.7956  4 O 1.69-1.77
H: 0.2124 0.5053 0.7678  1 O 1.02
H: 0.2124 0.9947 0.2678  1 O 1.02
H: 0.4277 0.0517 0.8502  1 O 1.05
H: 0.4277 0.4483 0.3502  1 O 1.05
H: 0.4344 0.1634 0.4815  1 O 1.03
H: 0.4344 0.3366 0.9815  1 O 1.03
H: 0.5656 0.6634 0.0185  1 O 1.03
H: 0.5656 0.8366 0.5185  1 O 1.03
H: 0.5723 0.5517 0.6498  1 O 1.05
H: 0.5723 0.9483 0.1498  1 O 1.05
H: 0.7876 0.0053 0.7322  1 O 1.02
H: 0.7876 0.4947 0.2322  1 O 1.02
O: 0.0621 0.6897 0.1170  1 As 1.72
O: 0.0621 0.8103 0.6170  1 As 1.72
O: 0.0762 0.5275 0.3881  1 As 1.73
O: 0.0762 0.9725 0.8881  1 As 1.73
O: 0.1308 0.1668 0.6691  1 As 1.69
O: 0.1308 0.3332 0.1691  1 As 1.69
O: 0.1665 0.5347 0.8509  1 H 1.02
O: 0.1665 0.9653 0.3509  1 H 1.02
O: 0.2795 0.0526 0.1330  1 H 1.64, 1 As 1.72
O: 0.2795 0.4474 0.6330  1 H 1.64, 1 As 1.72
O: 0.4095 0.5826 0.3469  1 H 1.05
O: 0.4095 0.9174 0.8469  1 H 1.05
O: 0.4231 0.1260 0.5810  1 H 1.03
O: 0.4231 0.3740 0.0810  1 H 1.03
O: 0.4695 0.2399 0.8548  2 H 1.50-1.54
O: 0.4695 0.2601 0.3548  2 H 1.50-1.54
O: 0.5305 0.7399 0.6452  2 H 1.50-1.54
O: 0.5305 0.7601 0.1452  2 H 1.50-1.54
O: 0.5769 0.6260 0.9190  1 H 1.03
O: 0.5769 0.8740 0.4190  1 H 1.03
O: 0.5905 0.0826 0.1531  1 H 1.05
O: 0.5905 0.4174 0.6531  1 H 1.05
O: 0.7205 0.5526 0.3670  1 H 1.64, 1 As 1.72
O: 0.7205 0.9474 0.8670  1 H 1.64, 1 As 1.72
O: 0.8335 0.0347 0.6491  1 H 1.02
O: 0.8335 0.4653 0.1491  1 H 1.02
O: 0.8692 0.6668 0.8309  1 As 1.69
O: 0.8692 0.8332 0.3309  1 As 1.69
O: 0.9238 0.0275 0.1119  1 As 1.73
O: 0.9238 0.4725 0.6119  1 As 1.73
O: 0.9379 0.1897 0.3830  1 As 1.72
O: 0.9379 0.3103 0.8830  1 As 1.72

Results
E_tot ... -83.65 eV per formula unit
Magnetic moment ... 4.027 μB/cell

---

[6]
Cu4AgAs3O12 | PBEsol | optimized geometry

Cell: 8.5892 8.5892 7.2913 Å, 108.22 108.22 92.79°
Closest atoms and distances in Å follow each position.
Fractional coordinates of all 40 atoms:
Cu: 0.0066 0.9934 0.7500  4 O 1.87-1.90
Cu: 0.1247 0.4372 0.3647  4 O 1.91-1.99
Cu: 0.2349 0.7651 0.2500  4 O 1.95-1.97
Cu: 0.4372 0.1247 0.8647  4 O 1.91-1.99
Cu: 0.5628 0.8753 0.1353  4 O 1.91-1.99
Cu: 0.7651 0.2349 0.7500  4 O 1.95-1.97
Cu: 0.8753 0.5628 0.6353  4 O 1.91-1.99
Cu: 0.9934 0.0066 0.2500  4 O 1.87-1.90
Ag: 0.4903 0.5097 0.7500  6 O 2.45-2.74
Ag: 0.5097 0.4903 0.2500  6 O 2.45-2.74
As: 0.1551 0.3956 0.8816  4 O 1.72-1.75
As: 0.2267 0.7733 0.7500  4 O 1.71-1.79
As: 0.3956 0.1551 0.3816  4 O 1.72-1.75
As: 0.6044 0.8449 0.6184  4 O 1.72-1.75
As: 0.7733 0.2267 0.2500  4 O 1.71-1.79
As: 0.8449 0.6044 0.1184  4 O 1.72-1.75
O: 0.0047 0.2260 0.8212  1 As 1.75, 1 Cu 1.90
O: 0.0151 0.7727 0.7361  1 As 1.79, 2 Cu 1.87-1.91
O: 0.0887 0.4795 0.6895  1 As 1.73
O: 0.1812 0.5233 0.1272  1 As 1.72
O: 0.2260 0.0047 0.3212  1 As 1.75, 1 Cu 1.90
O: 0.2273 0.9849 0.7639  1 As 1.79, 2 Cu 1.87-1.91
O: 0.2561 0.6600 0.5285  1 As 1.71
O: 0.3352 0.3450 0.3895  1 As 1.72
O: 0.3400 0.7439 0.9715  1 As 1.71
O: 0.3450 0.3352 0.8895  1 As 1.72
O: 0.4767 0.8188 0.3728  1 As 1.72
O: 0.4795 0.0887 0.1895  1 As 1.73
O: 0.5205 0.9113 0.8105  1 As 1.73
O: 0.5233 0.1812 0.6272  1 As 1.72
O: 0.6550 0.6648 0.1105  1 As 1.72
O: 0.6600 0.2561 0.0285  1 As 1.71
O: 0.6648 0.6550 0.6105  1 As 1.72
O: 0.7439 0.3400 0.4715  1 As 1.71
O: 0.7727 0.0151 0.2361  1 As 1.79, 2 Cu 1.87-1.91
O: 0.7740 0.9953 0.6788  1 As 1.75, 1 Cu 1.90
O: 0.8188 0.4767 0.8728  1 As 1.72
O: 0.9113 0.5205 0.3105  1 As 1.73
O: 0.9849 0.2273 0.2639  1 As 1.79, 2 Cu 1.87-1.91
O: 0.9953 0.7740 0.1788  1 As 1.75, 1 Cu 1.90

Results
Energy relative to the elements, uncorrected ... -0.83 eV per atom
Magnetic moment ... 4.189 μB/cell

---

Repeat the first record exactly.
CuAg2As | PBEsol | optimized geometry

Cell: 5.4713 9.3209 2.8017 Å, 90.00 117.02 90.00°
Closest atoms and distances in Å follow each position.
Fractional coordinates of all 8 atoms:
Cu: 0.0000 0.0000 0.0000  4 As 2.74-2.89, 4 Ag 2.74, 2 Cu 2.80
Cu: 0.5000 0.5000 0.0000  4 As 2.74-2.89, 4 Ag 2.74, 2 Cu 2.80
Ag: 0.2500 0.2500 0.5000  6 Ag 2.74-2.89, 2 As 2.74, 2 Cu 2.74
Ag: 0.2500 0.7500 0.5000  6 Ag 2.74-2.89, 2 As 2.74, 2 Cu 2.74
Ag: 0.7500 0.2500 0.5000  6 Ag 2.74-2.89, 2 As 2.74, 2 Cu 2.74
Ag: 0.7500 0.7500 0.5000  6 Ag 2.74-2.89, 2 As 2.74, 2 Cu 2.74
As: 0.0000 0.5000 0.0000  4 Cu 2.74-2.89, 4 Ag 2.74, 2 As 2.80
As: 0.5000 0.0000 0.0000  4 Cu 2.74-2.89, 4 Ag 2.74, 2 As 2.80

Results
DFT formation energy ... 182 meV/atom
Magnetic moment ... 0.000 μB/cell

---

Copy entry 6 word for word.
Cu4AgAs3O12 | PBEsol | optimized geometry

Cell: 8.5892 8.5892 7.2913 Å, 108.22 108.22 92.79°
Closest atoms and distances in Å follow each position.
Fractional coordinates of all 40 atoms:
Cu: 0.0066 0.9934 0.7500  4 O 1.87-1.90
Cu: 0.1247 0.4372 0.3647  4 O 1.91-1.99
Cu: 0.2349 0.7651 0.2500  4 O 1.95-1.97
Cu: 0.4372 0.1247 0.8647  4 O 1.91-1.99
Cu: 0.5628 0.8753 0.1353  4 O 1.91-1.99
Cu: 0.7651 0.2349 0.7500  4 O 1.95-1.97
Cu: 0.8753 0.5628 0.6353  4 O 1.91-1.99
Cu: 0.9934 0.0066 0.2500  4 O 1.87-1.90
Ag: 0.4903 0.5097 0.7500  6 O 2.45-2.74
Ag: 0.5097 0.4903 0.2500  6 O 2.45-2.74
As: 0.1551 0.3956 0.8816  4 O 1.72-1.75
As: 0.2267 0.7733 0.7500  4 O 1.71-1.79
As: 0.3956 0.1551 0.3816  4 O 1.72-1.75
As: 0.6044 0.8449 0.6184  4 O 1.72-1.75
As: 0.7733 0.2267 0.2500  4 O 1.71-1.79
As: 0.8449 0.6044 0.1184  4 O 1.72-1.75
O: 0.0047 0.2260 0.8212  1 As 1.75, 1 Cu 1.90
O: 0.0151 0.7727 0.7361  1 As 1.79, 2 Cu 1.87-1.91
O: 0.0887 0.4795 0.6895  1 As 1.73
O: 0.1812 0.5233 0.1272  1 As 1.72
O: 0.2260 0.0047 0.3212  1 As 1.75, 1 Cu 1.90
O: 0.2273 0.9849 0.7639  1 As 1.79, 2 Cu 1.87-1.91
O: 0.2561 0.6600 0.5285  1 As 1.71
O: 0.3352 0.3450 0.3895  1 As 1.72
O: 0.3400 0.7439 0.9715  1 As 1.71
O: 0.3450 0.3352 0.8895  1 As 1.72
O: 0.4767 0.8188 0.3728  1 As 1.72
O: 0.4795 0.0887 0.1895  1 As 1.73
O: 0.5205 0.9113 0.8105  1 As 1.73
O: 0.5233 0.1812 0.6272  1 As 1.72
O: 0.6550 0.6648 0.1105  1 As 1.72
O: 0.6600 0.2561 0.0285  1 As 1.71
O: 0.6648 0.6550 0.6105  1 As 1.72
O: 0.7439 0.3400 0.4715  1 As 1.71
O: 0.7727 0.0151 0.2361  1 As 1.79, 2 Cu 1.87-1.91
O: 0.7740 0.9953 0.6788  1 As 1.75, 1 Cu 1.90
O: 0.8188 0.4767 0.8728  1 As 1.72
O: 0.9113 0.5205 0.3105  1 As 1.73
O: 0.9849 0.2273 0.2639  1 As 1.79, 2 Cu 1.87-1.91
O: 0.9953 0.7740 0.1788  1 As 1.75, 1 Cu 1.90

Results
Energy relative to the elements, uncorrected ... -0.83 eV per atom
Magnetic moment ... 4.189 μB/cell